! Cr2AgS4 PBE relaxed; values from VASP
! Polymorph energy (0 for the lowest one) ... 0.000 eV per atom
! SG ... Fd-3m
! Uncorrected formation energy ... -0.546 eV per atom
&SYSTEM
  ibrav = 0, nat = 14, ntyp = 3
/
ATOMIC_SPECIES
Cr 52.00 Cr.upf
Ag 107.87 Ag.upf
S 32.06 S.upf
CELL_PARAMETERS angstrom
0.000 5.077 5.077
5.077 0.000 5.077
5.077 5.077 0.000
ATOMIC_POSITIONS crystal
Cr 0.000 0.000 0.000
Cr 0.000 0.000 0.500
Cr 0.000 0.500 0.000
Cr 0.500 0.000 0.000
Ag 0.375 0.375 0.375
Ag 0.625 0.625 0.625
S 0.205 0.765 0.765
S 0.235 0.235 0.235
S 0.235 0.235 0.795
S 0.235 0.795 0.235
S 0.765 0.205 0.765
S 0.765 0.765 0.205
S 0.765 0.765 0.765
S 0.795 0.235 0.235